Below is MgNbAg after structural relaxation, with properties calculated at the PBE-GGA level.

The formation energy from the elements is 0.608 eV/atom. Its density of states at the Fermi level is 7.3 states/eV per cell. Its density is 6.67 g cm⁻³. The energy above the lowest structure with this stoichiometry comes out at 0.553 eV/atom. For the total energy, the calculation gives -4.2306 eV per atom.

The structure belongs to space group P6_3/mmc (No. 194); the cell edges are 4.7734, 4.7734 and 5.6835 Å and the angles 90.00°, 90.00° and 120.00°. The distinct sites, in fractional coordinates, are Mg at (0.3333, 0.6667, 0.2500), Nb at (0.3333, 0.6667, 0.7500) and Ag at (0.0000, 0.0000, 0.0000).